(1)
First-principles (PBE-GGA) data for a relaxed LiZrTiPt crystal, as listed in Alexandria via LeMat-Bulk.

The space group is F-43m (No. 216) and the conventional cell measures 6.495, 6.495 and 6.495 Å, with angles of 90.00, 90.00 and 90.00 degrees. Symmetry generates all atoms from Li at (0.000, 0.000, 0.000), Zr at (0.250, 0.250, 0.750), Ti at (0.250, 0.250, 0.250) and Pt at (0.000, 0.000, 0.500).

The value obtained for the density of states at the Fermi level is 1.15 states/eV per atom. For the formation energy, the calculation gives -0.396 eV per atom.

***

(2)
First-principles (PBE-GGA) data for a relaxed SmIn2Ga crystal, as listed in Alexandria via LeMat-Bulk.

The space group is P4/mmm (No. 123) and the conventional cell measures 4.513, 4.513 and 4.724 Å, with angles of 90.00, 90.00 and 90.00 degrees. Symmetry generates all atoms from Sm at (0.000, 0.000, 0.000), In at (0.000, 0.500, 0.500) and Ga at (0.500, 0.500, 0.000).

The value obtained for the density of states at the Fermi level is 0.54 states/eV per atom. For the formation energy, the calculation gives -0.465 eV per atom. As for the energy above the lowest structure with this stoichiometry: 0 meV per atom.

***

(3)
First-principles (PBE-GGA) data for a relaxed U4OsRu crystal, as listed in Alexandria via LeMat-Bulk.

The space group is Cccm (No. 66) and the conventional cell measures 6.082, 8.255 and 9.160 Å, with angles of 90.00, 90.00 and 90.00 degrees. Symmetry generates all atoms from U at (0.000, 0.157, 0.250), U at (0.248, 0.406, 0.000), Os at (0.000, 0.500, 0.250) and Ru at (0.250, 0.250, 0.500).

The value obtained for the density of states at the Fermi level is 2.50 states/eV per atom. For the formation energy, the calculation gives -0.100 eV per atom.

***

(4)
First-principles (PBE-GGA) data for a relaxed Tl2InHgH crystal, as listed in Alexandria via LeMat-Bulk.

The space group is P4/mmm (No. 123) and the conventional cell measures 4.896, 4.896 and 4.998 Å, with angles of 90.00, 90.00 and 90.00 degrees. Symmetry generates all atoms from Tl at (0.000, 0.500, 0.000), In at (0.000, 0.000, 0.500), Hg at (0.500, 0.500, 0.500) and H at (0.500, 0.500, 0.000).

The value obtained for the density of states at the Fermi level is 0.19 states/eV per atom. As for the energy above the lowest structure with this stoichiometry: 34 meV per atom.

***

(5)
First-principles (PBE-GGA) data for a relaxed BaCaMg6 crystal, as listed in Alexandria via LeMat-Bulk.

The space group is Amm2 (No. 38) and the conventional cell measures 5.347, 7.500 and 11.928 Å, with angles of 90.00, 90.00 and 90.00 degrees. Symmetry generates all atoms from Ba at (0.000, 0.000, 0.000), Ca at (0.500, 0.000, 0.709), Mg at (0.000, 0.000, 0.522), Mg at (0.000, 0.208, 0.269), Mg at (0.500, 0.000, 0.197) and Mg at (0.500, 0.207, 0.442).

The value obtained for the density of states at the Fermi level is 0.66 states/eV per atom. For the formation energy, the calculation gives -0.006 eV per atom. As for the energy above the lowest structure with this stoichiometry: 0 meV per atom.

***

(6)
First-principles (PBE-GGA) data for a relaxed BiAu crystal, as listed in Alexandria via LeMat-Bulk.

The space group is I-43m (No. 217) and the conventional cell measures 8.864, 8.864 and 8.864 Å, with angles of 90.00, 90.00 and 90.00 degrees. Symmetry generates all atoms from Bi at (0.147, 0.147, 0.853) and Au at (0.175, 0.175, 0.175).

The value obtained for the density of states at the Fermi level is 0.72 states/eV per atom. For the formation energy, the calculation gives 0.287 eV per atom.

***

(7)
First-principles (PBE-GGA) data for a relaxed SrTbInHg crystal, as listed in Alexandria via LeMat-Bulk.

The space group is P4mm (No. 99) and the conventional cell measures 3.838, 3.838 and 7.992 Å, with angles of 90.00, 90.00 and 90.00 degrees. Symmetry generates all atoms from Sr at (0.000, 0.000, 0.000), Tb at (0.000, 0.000, 0.513), In at (0.500, 0.500, 0.281) and Hg at (0.500, 0.500, 0.726).

The value obtained for the density of states at the Fermi level is 0.69 states/eV per atom. For the formation energy, the calculation gives -0.482 eV per atom. As for the energy above the lowest structure with this stoichiometry: 0 meV per atom.

***

(8)
First-principles (PBE-GGA) data for a relaxed Pu2AlGa7 crystal, as listed in Alexandria via LeMat-Bulk.

The space group is P-4m2 (No. 115) and the conventional cell measures 4.252, 4.252 and 10.809 Å, with angles of 90.00, 90.00 and 90.00 degrees. Symmetry generates all atoms from Pu at (0.000, 0.500, 0.250), Al at (0.000, 0.000, 0.500), Ga at (0.000, 0.000, 0.000), Ga at (0.000, 0.500, 0.638), Ga at (0.000, 0.500, 0.863), Ga at (0.500, 0.500, 0.000) and Ga at (0.500, 0.500, 0.500).

The value obtained for the density of states at the Fermi level is 2.04 states/eV per atom. For the formation energy, the calculation gives -0.277 eV per atom.

***

(9)
First-principles (PBE-GGA) data for a relaxed Ac6CuTe5 crystal, as listed in Alexandria via LeMat-Bulk.

The space group is C2/m (No. 12) and the conventional cell measures 8.209, 14.137 and 8.138 Å, with angles of 90.00, 109.68 and 90.00 degrees. Symmetry generates all atoms from Ac at (0.231, 0.000, 0.256), Ac at (0.233, 0.156, 0.734), Cu at (0.000, 0.000, 0.500), Te at (0.000, 0.179, 0.000), Te at (0.000, 0.336, 0.500) and Te at (0.000, 0.500, 0.000).

The value obtained for the density of states at the Fermi level is 0.57 states/eV per atom. The uncorrected formation energy is -1.2605 eV per atom.

***

(10)
First-principles (PBE-GGA) data for a relaxed Ac2TlPt crystal, as listed in Alexandria via LeMat-Bulk.

The space group is R-3m (No. 166, hexagonal axes) and the conventional cell measures 4.3260, 4.3260 and 26.2442 Å, with angles of 90.00, 90.00 and 120.00 degrees. Symmetry generates all atoms from Ac at (0.0000, 0.0000, 0.2336), Tl at (0.0000, 0.0000, 0.0000) and Pt at (0.0000, 0.0000, 0.5000).

The value obtained for the density of states at the Fermi level is 0.85 states/eV per atom. For the formation energy, the calculation gives -0.728 eV per atom.

***

(11)
First-principles (PBE-GGA) data for a relaxed AlInCl crystal, as listed in Alexandria via LeMat-Bulk.

The space group is P3m1 (No. 156) and the conventional cell measures 3.3180, 3.3180 and 7.7507 Å, with angles of 90.00, 90.00 and 120.00 degrees. Symmetry generates all atoms from Al at (0.0000, 0.0000, 0.0000), In at (0.6667, 0.3333, 0.6891) and Cl at (0.3333, 0.6667, 0.2171).

The value obtained for the density of states at the Fermi level is 0.34 states/eV per atom. As for the energy above the lowest structure with this stoichiometry: 0 meV per atom. The uncorrected formation energy is -0.3301 eV per atom.